# 1
Compound: Rh2WAu
Source: the Alexandria database
Functional: PBE-GGA
Structure: optimized geometry

Cell and atoms, written as POSCAR:
```
Rh2WAu
1.0
6.301 0.000 0.000
0.000 6.301 0.000
0.000 0.000 6.301
Rh W Au
8 4 4
Direct
0.000 0.000 0.000
0.000 0.500 0.500
0.250 0.250 0.250
0.250 0.750 0.750
0.500 0.000 0.500
0.500 0.500 0.000
0.750 0.250 0.750
0.750 0.750 0.250
0.250 0.250 0.750
0.250 0.750 0.250
0.750 0.250 0.250
0.750 0.750 0.750
0.000 0.000 0.500
0.000 0.500 0.000
0.500 0.000 0.000
0.500 0.500 0.500
```

Fermi-level density of states = 1.15 states/eV per atom
space-group type = No. 216
excess energy over the best structure of this formula in the dataset = 441.1 meV per atom
uncorrected energy = -7.390 eV per atom



# 2
Compound: Sb4S5Cl2
Source: the Alexandria database
Functional: PBE-GGA
Structure: optimized geometry

Cell and atoms, written as POSCAR:
```
Sb4S5Cl2
1.0
12.551 -1.990 0.000
12.551 1.990 0.000
-2.026 0.000 7.220
Sb S Cl
4 5 2
Direct
0.042 0.042 0.256
0.316 0.316 0.516
0.684 0.684 0.484
0.958 0.958 0.744
0.135 0.135 0.219
0.246 0.246 0.694
0.500 0.500 0.000
0.754 0.754 0.306
0.865 0.865 0.781
0.078 0.078 0.607
0.922 0.922 0.393
```

Fermi-level density of states = 0.14 states/eV per atom
E_form (uncorrected) = -295 meV/atom
space-group type = No. 12
excess energy over the best structure of this formula in the dataset = 103.0 meV per atom
uncorrected energy = -4.006 eV per atom



# 3
Compound: DyHo4Ag2
Source: the Alexandria database
Functional: PBE-GGA
Structure: optimized geometry

Cell and atoms, written as POSCAR:
```
DyHo4Ag2
1.0
2.500 1.444 9.896
-2.500 1.444 9.896
0.000 -2.887 9.896
Dy Ho Ag
1 4 2
Direct
0.000 0.000 0.000
0.203 0.203 0.203
0.396 0.396 0.396
0.604 0.604 0.604
0.797 0.797 0.797
0.101 0.101 0.101
0.899 0.899 0.899
```

Fermi-level density of states = 1.57 states/eV per atom
space-group type = No. 166
uncorrected energy = -3.917 eV per atom



# 4
Compound: La12TlAg6
Source: the Alexandria database
Functional: PBE-GGA
Structure: optimized geometry

Cell and atoms, written as POSCAR:
```
La12TlAg6
1.0
5.794 3.345 4.870
-5.794 3.345 4.870
0.000 -6.690 4.870
La Tl Ag
12 1 6
Direct
0.043 0.946 0.312
0.054 0.688 0.957
0.124 0.489 0.354
0.312 0.043 0.946
0.354 0.124 0.489
0.489 0.354 0.124
0.511 0.646 0.876
0.646 0.876 0.511
0.688 0.957 0.054
0.876 0.511 0.646
0.946 0.312 0.043
0.957 0.054 0.688
0.500 0.500 0.500
0.237 0.387 0.760
0.240 0.763 0.613
0.387 0.760 0.237
0.613 0.240 0.763
0.760 0.237 0.387
0.763 0.613 0.240
```

Fermi-level density of states = 1.27 states/eV per atom
space-group type = No. 148
uncorrected energy = -4.227 eV per atom



# 5
Compound: TmNbGe2
Source: the Alexandria database
Functional: PBE-GGA
Structure: optimized geometry

Cell and atoms, written as POSCAR:
```
TmNbGe2
1.0
3.825 0.000 0.000
-1.913 3.313 0.000
0.000 0.000 19.561
Tm Nb Ge
3 3 6
Direct
0.000 0.000 0.000
0.333 0.667 0.667
0.667 0.333 0.333
0.000 0.000 0.500
0.333 0.667 0.167
0.667 0.333 0.833
0.000 0.000 0.242
0.000 0.000 0.758
0.333 0.667 0.424
0.333 0.667 0.909
0.667 0.333 0.091
0.667 0.333 0.576
```

Fermi-level density of states = 0.38 states/eV per atom
space-group type = No. 166
uncorrected energy = -6.434 eV per atom



# 6
Compound: Tb2Mg3Tl2
Source: the Alexandria database
Functional: PBE-GGA
Structure: optimized geometry

Cell and atoms, written as POSCAR:
```
Tb2Mg3Tl2
1.0
4.787 0.000 0.000
0.000 22.218 0.000
0.000 0.000 3.526
Tb Mg Tl
4 6 4
Direct
0.000 0.155 0.000
0.000 0.845 0.000
0.500 0.345 0.000
0.500 0.655 0.000
0.000 0.000 0.000
0.000 0.431 0.500
0.000 0.569 0.500
0.500 0.069 0.500
0.500 0.500 0.000
0.500 0.931 0.500
0.000 0.293 0.500
0.000 0.707 0.500
0.500 0.207 0.500
0.500 0.793 0.500
```

Fermi-level density of states = 0.65 states/eV per atom
space-group type = No. 65
uncorrected energy = -2.794 eV per atom



# 7
Compound: LaIn2Ru
Source: the Alexandria database
Functional: PBE-GGA
Structure: optimized geometry

Cell and atoms, written as POSCAR:
```
LaIn2Ru
1.0
5.054 0.000 0.000
0.000 5.054 0.000
0.000 0.000 7.169
La In Ru
2 4 2
Direct
0.000 0.000 0.000
0.500 0.500 0.500
0.000 0.000 0.500
0.000 0.500 0.250
0.500 0.000 0.750
0.500 0.500 0.000
0.000 0.500 0.750
0.500 0.000 0.250
```

Fermi-level density of states = 0.77 states/eV per atom
space-group type = No. 119
uncorrected energy = -4.946 eV per atom



# 8
Compound: ThGa3Pt
Source: the Alexandria database
Functional: PBE-GGA
Structure: optimized geometry

Cell and atoms, written as POSCAR:
```
ThGa3Pt
1.0
4.320 0.000 0.000
0.000 4.320 0.000
0.000 0.000 10.581
Th Ga Pt
2 6 2
Direct
0.000 0.000 0.000
0.500 0.500 0.500
0.000 0.000 0.590
0.000 0.500 0.239
0.000 0.500 0.739
0.500 0.000 0.239
0.500 0.000 0.739
0.500 0.500 0.090
0.000 0.000 0.360
0.500 0.500 0.860
```

Fermi-level density of states = 0.20 states/eV per atom
space-group type = No. 107
excess energy over the best structure of this formula in the dataset = 0.0 meV per atom
uncorrected energy = -5.291 eV per atom



Which formula does entry 5 have? TmNbGe2